Record 1
Density functional theory data (PBE) for a geometry-optimized AcSc3Fe structure.

Computed properties:
Formation energy from the elements, kJ/mol of formula units: -1

Cell: 5.0337 5.0337 5.0337 Å, 90.00 90.00 90.00°
Closest atoms and distances in Å follow each position.
Sites, in units of the cell vectors:
1 Fe 0.0000 0.0000 0.0000  6 Sc 2.52
2 Ac 0.5000 0.5000 0.5000  12 Sc 3.56
3 Sc 0.0000 0.0000 0.5000  2 Fe 2.52
4 Sc 0.5000 0.0000 0.0000  2 Fe 2.52
5 Sc 0.0000 0.5000 0.0000  2 Fe 2.52

=====

Record 2
Density functional theory data (PBE) for a geometry-optimized AcFeSe structure.

Computed properties:
Formation energy from raw total energies, eV per atom: -0.7493

Cell: 4.8123 4.4444 7.3857 Å, 72.49 90.00 90.00°
Closest atoms and distances in Å follow each position.
Sites, in units of the cell vectors:
1 Ac 0.2500 0.3742 0.2517  4 Fe 3.09, 5 Se 3.21-3.29
2 Ac 0.7500 0.6258 0.7483  4 Fe 3.09, 5 Se 3.21-3.29
3 Se 0.7500 0.8538 0.2924  2 Fe 2.39
4 Se 0.2500 0.1462 0.7076  2 Fe 2.39
5 Fe 0.0000 0.0000 0.0000  2 Se 2.39, 2 Fe 2.41
6 Fe 0.5000 0.0000 0.0000  2 Se 2.39, 2 Fe 2.41

=====

Record 3
Density functional theory data (PBE) for a geometry-optimized Ac3Fe5Se12 structure.

Computed properties:
Formation energy from raw total energies, eV per atom: -0.7930

Cell: 13.8026 13.8026 13.8026 Å, 109.47 109.47 109.47°
Closest atoms and distances in Å follow each position.
Sites, in units of the cell vectors:
1 Fe 0.5000 0.5000 0.0000  6 Se 2.48
2 Fe 0.2500 0.8750 0.1250  4 Se 2.39
3 Fe 0.5000 0.5000 0.5000  6 Se 2.48
4 Fe 0.0000 0.0000 0.5000  6 Se 2.48
5 Fe 0.2500 0.3750 0.6250  4 Se 2.39
6 Fe 0.8750 0.6250 0.7500  4 Se 2.39
7 Fe 0.7500 0.6250 0.3750  4 Se 2.39
8 Fe 0.1250 0.3750 0.2500  4 Se 2.39
9 Fe 0.0000 0.5000 0.0000  6 Se 2.48
10 Fe 0.6250 0.7500 0.8750  4 Se 2.39
11 Fe 0.1250 0.7500 0.3750  4 Se 2.39
12 Fe 0.3750 0.1250 0.7500  4 Se 2.39
13 Fe 0.0000 0.5000 0.5000  6 Se 2.48
14 Fe 0.5000 0.0000 0.0000  6 Se 2.48
15 Fe 0.0000 0.0000 0.0000  6 Se 2.48
16 Fe 0.8750 0.2500 0.6250  4 Se 2.39
17 Fe 0.6250 0.8750 0.2500  4 Se 2.39
18 Fe 0.3750 0.2500 0.1250  4 Se 2.39
19 Fe 0.7500 0.1250 0.8750  4 Se 2.39
20 Fe 0.5000 0.0000 0.5000  6 Se 2.48
21 Se 0.6095 0.5922 0.9158  2 Fe 2.39-2.48
22 Se 0.3063 0.8905 0.9827  2 Fe 2.39-2.48
23 Se 0.6937 0.5842 0.1764  2 Fe 2.39-2.48
24 Se 0.5922 0.6095 0.4158  2 Fe 2.39-2.48
25 Se 0.0173 0.4078 0.8236  2 Fe 2.39-2.48
26 Se 0.6937 0.1095 0.0173  2 Fe 2.39-2.48
27 Se 0.0922 0.9158 0.1095  2 Fe 2.39-2.48
28 Se 0.8905 0.5842 0.9078  2 Fe 2.39-2.48
29 Se 0.4158 0.3063 0.3236  2 Fe 2.39-2.48
30 Se 0.1095 0.6937 0.5173  2 Fe 2.39-2.48
31 Se 0.3236 0.8063 0.4158  2 Fe 2.39-2.48
32 Se 0.5842 0.8905 0.4078  2 Fe 2.39-2.48
33 Se 0.9158 0.8236 0.8063  2 Fe 2.39-2.48
34 Se 0.4827 0.6764 0.0922  2 Fe 2.39-2.48
35 Se 0.6764 0.4827 0.5922  2 Fe 2.39-2.48
36 Se 0.9827 0.3905 0.3063  2 Fe 2.39-2.48
37 Se 0.8236 0.9158 0.3063  2 Fe 2.39-2.48
38 Se 0.0842 0.9078 0.3905  2 Fe 2.39-2.48
39 Se 0.5173 0.3236 0.9078  2 Fe 2.39-2.48
40 Se 0.1764 0.0842 0.6937  2 Fe 2.39-2.48
41 Se 0.3905 0.9827 0.8063  2 Fe 2.39-2.48
42 Se 0.8236 0.9078 0.0173  2 Fe 2.39-2.48
43 Se 0.8905 0.3063 0.4827  2 Fe 2.39-2.48
44 Se 0.3063 0.4158 0.8236  2 Fe 2.39-2.48
45 Se 0.4078 0.0173 0.3236  2 Fe 2.39-2.48
46 Se 0.4078 0.3905 0.5842  2 Fe 2.39-2.48
47 Se 0.1937 0.6764 0.0842  2 Fe 2.39-2.48
48 Se 0.4158 0.1095 0.5922  2 Fe 2.39-2.48
49 Se 0.3905 0.4078 0.0842  2 Fe 2.39-2.48
50 Se 0.5173 0.1937 0.1095  2 Fe 2.39-2.48
51 Se 0.1764 0.0922 0.9827  2 Fe 2.39-2.48
52 Se 0.6095 0.0173 0.1937  2 Fe 2.39-2.48
53 Se 0.8063 0.3236 0.9158  2 Fe 2.39-2.48
54 Se 0.3236 0.5173 0.4078  2 Fe 2.39-2.48
55 Se 0.4827 0.8063 0.8905  2 Fe 2.39-2.48
56 Se 0.0842 0.1764 0.1937  2 Fe 2.39-2.48
57 Se 0.6764 0.1937 0.5842  2 Fe 2.39-2.48
58 Se 0.5842 0.6937 0.6764  2 Fe 2.39-2.48
59 Se 0.8063 0.4827 0.3905  2 Fe 2.39-2.48
60 Se 0.9078 0.8236 0.5173  2 Fe 2.39-2.48
61 Se 0.0922 0.1764 0.4827  2 Fe 2.39-2.48
62 Se 0.0173 0.6095 0.6937  2 Fe 2.39-2.48
63 Se 0.9158 0.0922 0.6095  2 Fe 2.39-2.48
64 Se 0.1095 0.4158 0.0922  2 Fe 2.39-2.48
65 Se 0.9078 0.0842 0.8905  2 Fe 2.39-2.48
66 Se 0.1937 0.5173 0.6095  2 Fe 2.39-2.48
67 Se 0.5922 0.9827 0.6764  2 Fe 2.39-2.48
68 Se 0.9827 0.5922 0.1764  2 Fe 2.39-2.48
69 Ac 0.8750 0.1250 0.2500  8 Se 3.15-3.23
70 Ac 0.2500 0.6250 0.8750  8 Se 3.15-3.23
71 Ac 0.3750 0.6250 0.2500  8 Se 3.15-3.23
72 Ac 0.1250 0.8750 0.7500  8 Se 3.15-3.23
73 Ac 0.8750 0.7500 0.1250  8 Se 3.15-3.23
74 Ac 0.7500 0.3750 0.1250  8 Se 3.15-3.23
75 Ac 0.1250 0.2500 0.8750  8 Se 3.15-3.23
76 Ac 0.6250 0.3750 0.7500  8 Se 3.15-3.23
77 Ac 0.7500 0.8750 0.6250  8 Se 3.15-3.23
78 Ac 0.6250 0.2500 0.3750  8 Se 3.15-3.23
79 Ac 0.3750 0.7500 0.6250  8 Se 3.15-3.23
80 Ac 0.2500 0.1250 0.3750  8 Se 3.15-3.23

=====

Record 4
Density functional theory data (PBE) for a geometry-optimized AcFeSe2 structure.

Computed properties:
Formation energy from raw total energies, eV per atom: -0.9028

Cell: 4.3413 4.3413 6.5004 Å, 70.49 70.49 60.00°
Closest atoms and distances in Å follow each position.
Sites, in units of the cell vectors:
1 Se 0.2334 0.2334 0.2997  3 Fe 2.78, 3 Ac 3.08
2 Se 0.7666 0.7666 0.7003  3 Fe 2.78, 3 Ac 3.08
3 Ac 0.0000 0.0000 0.0000  6 Se 3.08
4 Fe 0.5000 0.5000 0.5000  6 Se 2.78

=====

Record 5
Density functional theory data (PBE) for a geometry-optimized AcUFe2Se8 structure.

Computed properties:
Formation energy from raw total energies, eV per atom: -0.6316

Cell: 6.4290 6.4290 8.9260 Å, 90.00 90.00 120.00°
Closest atoms and distances in Å follow each position.
Sites, in units of the cell vectors:
1 Se 0.3333 0.6667 0.0108  1 Fe 2.26
2 Se 0.9789 0.3139 0.6978  1 Fe 2.33
3 Se 0.3350 0.0211 0.6978  1 Fe 2.33
4 Se 0.6861 0.6650 0.6978  1 Fe 2.33
5 Se 0.3139 0.3350 0.3022  1 Fe 2.33
6 Se 0.6650 0.9789 0.3022  1 Fe 2.33
7 Se 0.6667 0.3333 0.9892  1 Fe 2.26
8 Se 0.0211 0.6861 0.3022  1 Fe 2.33
9 Fe 0.6667 0.3333 0.2428  4 Se 2.26-2.33
10 Fe 0.3333 0.6667 0.7572  4 Se 2.26-2.33
11 Ac 0.0000 0.0000 0.0000  12 Se 3.41-3.71
12 U 0.0000 0.0000 0.5000  6 Se 2.74

=====

Record 6
Density functional theory data (PBE) for a geometry-optimized Ac2FeSi5 structure.

Computed properties:
Formation energy from raw total energies, eV per atom: -0.3228

Cell: 6.3600 6.3600 6.3600 Å, 82.44 124.46 124.46°
Closest atoms and distances in Å follow each position.
Sites, in units of the cell vectors:
1 Ac 0.5000 0.2292 0.7292  10 Si 3.02-3.22
2 Ac 0.5000 0.7292 0.2292  10 Si 3.02-3.22
3 Si 0.0000 0.6993 0.2661  1 Fe 2.44, 3 Si 2.57
4 Si 0.5668 0.2661 0.2661  1 Fe 2.44, 3 Si 2.57
5 Si 0.0000 0.2923 0.2923  1 Fe 2.41, 4 Si 2.57
6 Si 0.4332 0.6993 0.6993  1 Fe 2.44, 3 Si 2.57
7 Si 0.0000 0.2661 0.6993  1 Fe 2.44, 3 Si 2.57
8 Fe 0.0000 0.0405 0.0405  5 Si 2.41-2.44

=====

V readings, ordered: 25.51, 25.11, 25.30, 24.47, 26.63, 21.01 Å³ per atom